Entry 1:
# CrInI2

A relaxed structure of CrInI2 (PBE, Alexandria).

Summary:
* formation energy (no corrections): -0.2 eV per formula unit
* uncorrected energy: -15.635 eV/f.u.

Unit cell a=8.3931 b=8.3931 c=8.2020 alpha=90.00 beta=90.00 gamma=90.00
Positions (direct):
Cr (0.0000, 0.0000, 0.0000)
Cr (0.0000, 0.5000, 0.2500)
Cr (0.5000, 0.0000, 0.7500)
Cr (0.5000, 0.5000, 0.5000)
In (0.0000, 0.0000, 0.5000)
In (0.0000, 0.5000, 0.7500)
In (0.5000, 0.0000, 0.2500)
In (0.5000, 0.5000, 0.0000)
I (0.1865, 0.2500, 0.1250)
I (0.2500, 0.6865, 0.3750)
I (0.2500, 0.8135, 0.8750)
I (0.3135, 0.2500, 0.6250)
I (0.6865, 0.7500, 0.6250)
I (0.7500, 0.1865, 0.8750)
I (0.7500, 0.3135, 0.3750)
I (0.8135, 0.7500, 0.1250)

=====

Entry 2:
# CrInI2

A relaxed structure of CrInI2 (PBE, Alexandria).

Summary:
* formation energy (no corrections): 0.6 eV per formula unit
* uncorrected energy: -14.840 eV/f.u.

Unit cell a=7.9564 b=7.9564 c=7.9564 alpha=90.00 beta=90.00 gamma=90.00
Positions (direct):
Cr (0.0000, 0.0000, 0.0000)
Cr (0.0000, 0.5000, 0.5000)
Cr (0.5000, 0.0000, 0.5000)
Cr (0.5000, 0.5000, 0.0000)
In (0.0000, 0.0000, 0.5000)
In (0.0000, 0.5000, 0.0000)
In (0.5000, 0.0000, 0.0000)
In (0.5000, 0.5000, 0.5000)
I (0.2500, 0.2500, 0.2500)
I (0.2500, 0.2500, 0.7500)
I (0.2500, 0.7500, 0.2500)
I (0.2500, 0.7500, 0.7500)
I (0.7500, 0.2500, 0.2500)
I (0.7500, 0.2500, 0.7500)
I (0.7500, 0.7500, 0.2500)
I (0.7500, 0.7500, 0.7500)

=====

Entry 3:
# CrIn2I4

A relaxed structure of CrIn2I4 (PBE, Alexandria).

Summary:
* formation energy (no corrections): -2.4 eV per formula unit
* uncorrected energy: -23.704 eV/f.u.

Unit cell a=5.6776 b=5.6776 c=16.9582 alpha=90.00 beta=90.00 gamma=90.00
Positions (direct):
Cr (0.0000, 0.0000, 0.0000)
Cr (0.5000, 0.5000, 0.5000)
In (0.0000, 0.0000, 0.3657)
In (0.0000, 0.0000, 0.6343)
In (0.5000, 0.5000, 0.1343)
In (0.5000, 0.5000, 0.8657)
I (0.0000, 0.0000, 0.1651)
I (0.0000, 0.0000, 0.8349)
I (0.0000, 0.5000, 0.0000)
I (0.0000, 0.5000, 0.5000)
I (0.5000, 0.0000, 0.0000)
I (0.5000, 0.0000, 0.5000)
I (0.5000, 0.5000, 0.3349)
I (0.5000, 0.5000, 0.6651)

=====

Entry 4:
# CrInI3

A relaxed structure of CrInI3 (PBE, Alexandria).

Summary:
* formation energy (no corrections): -1.5 eV per formula unit
* uncorrected energy: -18.542 eV/f.u.

Unit cell a=5.7737 b=8.2780 c=8.4398 alpha=90.00 beta=108.53 gamma=90.00
Positions (direct):
Cr (0.0073, 0.2500, 0.0153)
Cr (0.9927, 0.7500, 0.9847)
In (0.3361, 0.2500, 0.6430)
In (0.6639, 0.7500, 0.3570)
I (0.1139, 0.5126, 0.2467)
I (0.1139, 0.9874, 0.2467)
I (0.4823, 0.7500, 0.9618)
I (0.5177, 0.2500, 0.0382)
I (0.8861, 0.0126, 0.7533)
I (0.8861, 0.4874, 0.7533)

=====

Entry 5:
# KCrInI2

A relaxed structure of KCrInI2 (PBE, Alexandria).

Summary:
* formation energy (no corrections): 1.5 eV per formula unit
* uncorrected energy: -15.091 eV/f.u.

Unit cell a=6.4648 b=6.4648 c=5.9635 alpha=90.00 beta=90.00 gamma=90.00
Positions (direct):
K (0.0000, 0.0000, 0.0000)
Cr (0.0000, 0.0000, 0.5000)
In (0.5000, 0.5000, 0.5000)
I (0.0000, 0.5000, 0.0000)
I (0.5000, 0.0000, 0.0000)

=====

Entry 6:
# MgCrInI2

A relaxed structure of MgCrInI2 (PBE, Alexandria).

Summary:
* formation energy (no corrections): 2.6 eV per formula unit
* uncorrected energy: -14.455 eV/f.u.

Unit cell a=6.2185 b=6.2185 c=5.4282 alpha=90.00 beta=90.00 gamma=90.00
Positions (direct):
Mg (0.0000, 0.0000, 0.0000)
Cr (0.5000, 0.5000, 0.0000)
In (0.5000, 0.5000, 0.5000)
I (0.0000, 0.5000, 0.5000)
I (0.5000, 0.0000, 0.5000)

=====

Q: Which formula does entry 4 have?
A: CrInI3

=====

Q: uncorrected energy of number 5 (KCrInI2)?
A: -15.091 eV/f.u.